No. 1
Density functional theory data (PBE) for crystalline Ca3ErPa2As6 at its relaxed geometry.

Computed properties:
The value obtained for the size of the total moment is 0.32 μB/f.u. The total energy comes out at -6.0326 eV/atom. The value obtained for the energy relative to the elements is -1.245 eV per atom. The space group is C2/m (12).

a = 7.217 Å, b = 7.217 Å, c = 7.240 Å
α = 99.56°, β = 99.56°, γ = 119.99°
Fractional positions:
As1 0.923 0.584 0.768
Ca1 0.835 0.165 0.500
Er1 0.000 0.000 0.000
As2 0.584 0.923 0.768
Ca2 0.165 0.835 0.500
As3 0.261 0.261 0.767
Pa1 0.333 0.667 0.000
As4 0.416 0.077 0.232
As5 0.077 0.416 0.232
Ca3 0.500 0.500 0.500
As6 0.739 0.739 0.233
Pa2 0.667 0.333 0.000

---

No. 2
Density functional theory data (PBE) for crystalline CaErPa2As4 at its relaxed geometry.

Computed properties:
The value obtained for the size of the total moment is 1.10 μB/f.u. The total energy comes out at -6.7201 eV/atom. The value obtained for the energy relative to the elements is -1.201 eV per atom. The space group is I-4m2 (119).

a = 5.810 Å, b = 5.810 Å, c = 7.142 Å
α = 114.00°, β = 114.00°, γ = 90.00°
Fractional positions:
As1 0.499 0.999 0.997
As2 0.001 0.501 0.003
As3 0.754 0.754 0.508
Er1 0.750 0.250 0.500
Pa1 0.250 0.750 0.500
As4 0.246 0.246 0.492
Ca1 0.500 0.500 0.000
Pa2 0.000 0.000 0.000

---

No. 3
Density functional theory data (PBE) for crystalline CaErAs2Pd5 at its relaxed geometry.

Computed properties:
The value obtained for the size of the total moment is 0.00 μB/f.u. The total energy comes out at -5.3668 eV/atom. The value obtained for the energy relative to the elements is -0.719 eV per atom. The space group is P4/mmm (123).

a = 4.289 Å, b = 4.289 Å, c = 8.916 Å
α = 90.00°, β = 90.00°, γ = 90.00°
Fractional positions:
Ca1 0.000 0.000 0.500
Er1 0.000 0.000 0.000
Pd1 0.000 0.500 0.270
Pd2 0.500 0.500 0.500
As1 0.500 0.500 0.137
Pd3 0.500 0.000 0.730
Pd4 0.000 0.500 0.730
As2 0.500 0.500 0.863
Pd5 0.500 0.000 0.270

---

No. 4
Density functional theory data (PBE) for crystalline CaPm2ErAs4 at its relaxed geometry.

Computed properties:
The value obtained for the size of the total moment is 0.00 μB/f.u. The total energy comes out at -5.6851 eV/atom. The value obtained for the energy relative to the elements is -1.352 eV per atom. The space group is P2/m (10).

a = 4.200 Å, b = 7.248 Å, c = 7.311 Å
α = 70.49°, β = 90.00°, γ = 90.00°
Fractional positions:
Ca1 0.500 0.500 0.000
Pm1 0.000 0.000 0.000
As1 0.000 0.251 0.256
As2 0.500 0.256 0.743
Er1 0.000 0.500 0.500
As3 0.500 0.744 0.257
As4 0.000 0.749 0.744
Pm2 0.500 0.000 0.500

---

No. 5
Density functional theory data (PBE) for crystalline CaPrEr2As4 at its relaxed geometry.

Computed properties:
The value obtained for the size of the total moment is 0.00 μB/f.u. The total energy comes out at -5.6630 eV/atom. The value obtained for the energy relative to the elements is -1.350 eV per atom. The space group is P2/m (10).

a = 4.173 Å, b = 7.284 Å, c = 7.216 Å
α = 70.73°, β = 90.00°, γ = 90.00°
Fractional positions:
Ca1 0.000 0.500 0.500
As1 0.000 0.236 0.256
As2 0.500 0.765 0.245
As3 0.500 0.235 0.755
Er1 0.500 0.000 0.500
Pr1 0.500 0.500 0.000
As4 0.000 0.764 0.744
Er2 0.000 0.000 0.000

---

No. 6
Density functional theory data (PBE) for crystalline CaErAsSe at its relaxed geometry.

Computed properties:
The value obtained for the size of the total moment is 0.00 μB/f.u. The total energy comes out at -5.3708 eV/atom. The value obtained for the formation energy without anion corrections is -6.78 eV/f.u. The space group is R3m (160).

a = 4.148 Å, b = 4.148 Å, c = 7.263 Å
α = 73.41°, β = 73.41°, γ = 60.00°
Fractional positions:
Ca1 0.747 0.747 0.760
Se1 0.503 0.503 0.490
Er1 0.255 0.255 0.236
As1 0.995 0.995 0.014

---

No. 7
Density functional theory data (PBE) for crystalline Ca3Er2TaAs6 at its relaxed geometry.

Computed properties:
The value obtained for the size of the total moment is 0.00 μB/f.u. The total energy comes out at -5.6654 eV/atom. The value obtained for the energy relative to the elements is -1.092 eV per atom. The space group is C2/m (12).

a = 6.989 Å, b = 6.989 Å, c = 7.231 Å
α = 99.33°, β = 99.33°, γ = 120.03°
Fractional positions:
Er1 0.666 0.334 0.000
As1 0.611 0.925 0.773
As2 0.765 0.765 0.229
As3 0.389 0.075 0.227
Ta1 0.000 0.000 0.000
As4 0.235 0.235 0.771
Ca1 0.172 0.828 0.500
As5 0.925 0.611 0.773
Ca2 0.828 0.172 0.500
Er2 0.334 0.666 0.000
As6 0.075 0.389 0.227
Ca3 0.500 0.500 0.500

---

No. 8
Density functional theory data (PBE) for crystalline CaTb2ErAs4 at its relaxed geometry.

Computed properties:
The value obtained for the size of the total moment is 0.00 μB/f.u. The total energy comes out at -5.6696 eV/atom. The value obtained for the energy relative to the elements is -1.367 eV per atom. The space group is P2/m (10).

a = 4.136 Å, b = 7.187 Å, c = 7.206 Å
α = 70.67°, β = 90.00°, γ = 90.00°
Fractional positions:
As1 0.000 0.245 0.257
As2 0.000 0.755 0.743
As3 0.500 0.750 0.255
Tb1 0.500 0.000 0.500
Er1 0.000 0.500 0.500
Ca1 0.500 0.500 0.000
As4 0.500 0.250 0.745
Tb2 0.000 0.000 0.000

---

Which value of size of the total moment does entry 5 give? 0.00 μB/f.u.